(1)
Te12Pd7Se after structural relaxation, computed with PBE. Values from VASP.

Computed properties:
As for the spin magnetization: 0.000 μB/atom. The formation energy (no corrections) comes out at -0.1958 eV/atom.

Quantum ESPRESSO input file:
```
&SYSTEM
  ibrav = 0, nat = 20, ntyp = 3
/
ATOMIC_SPECIES
Te 127.60 Te.upf
Pd 106.42 Pd.upf
Se 78.96 Se.upf
CELL_PARAMETERS angstrom
6.551 3.782 3.507
-6.551 3.782 3.507
0.000 -7.564 3.507
ATOMIC_POSITIONS crystal
Te 0.041 0.116 0.345
Te 0.116 0.345 0.041
Te 0.195 0.530 0.722
Te 0.278 0.805 0.470
Te 0.345 0.041 0.116
Te 0.470 0.278 0.805
Te 0.530 0.722 0.195
Te 0.655 0.959 0.884
Te 0.722 0.195 0.530
Te 0.805 0.470 0.278
Te 0.884 0.655 0.959
Te 0.959 0.884 0.655
Pd 0.000 0.000 0.000
Pd 0.147 0.451 0.379
Pd 0.379 0.147 0.451
Pd 0.451 0.379 0.147
Pd 0.549 0.621 0.853
Pd 0.621 0.853 0.549
Pd 0.853 0.549 0.621
Se 0.500 0.500 0.500
```

(2)
Te3PdSe6 after structural relaxation, computed with PBE. Values from VASP.

Computed properties:
As for the spin magnetization: 0.000 μB/atom. The formation energy (no corrections) comes out at 0.0083 eV/atom.

Quantum ESPRESSO input file:
```
&SYSTEM
  ibrav = 0, nat = 20, ntyp = 3
/
ATOMIC_SPECIES
Te 127.60 Te.upf
Pd 106.42 Pd.upf
Se 78.96 Se.upf
CELL_PARAMETERS angstrom
11.984 0.000 0.000
0.000 3.873 0.000
-3.706 0.000 11.827
ATOMIC_POSITIONS crystal
Te 0.092 0.250 0.405
Te 0.179 0.750 0.107
Te 0.404 0.250 0.261
Te 0.596 0.750 0.739
Te 0.821 0.250 0.893
Te 0.908 0.750 0.595
Pd 0.360 0.750 0.915
Pd 0.640 0.250 0.085
Se 0.048 0.250 0.174
Se 0.100 0.250 0.651
Se 0.230 0.250 0.949
Se 0.260 0.750 0.702
Se 0.434 0.750 0.416
Se 0.493 0.250 0.887
Se 0.507 0.750 0.113
Se 0.566 0.250 0.584
Se 0.740 0.250 0.298
Se 0.770 0.750 0.051
Se 0.900 0.750 0.349
Se 0.952 0.750 0.826
```

(3)
Te2PdSe after structural relaxation, computed with PBE. Values from VASP.

Computed properties:
As for the spin magnetization: 0.000 μB/atom. The formation energy (no corrections) comes out at -0.1670 eV/atom.

Quantum ESPRESSO input file:
```
&SYSTEM
  ibrav = 0, nat = 8, ntyp = 3
/
ATOMIC_SPECIES
Te 127.60 Te.upf
Pd 106.42 Pd.upf
Se 78.96 Se.upf
CELL_PARAMETERS angstrom
4.225 0.000 0.000
-0.208 6.890 0.000
-0.804 -0.933 7.864
ATOMIC_POSITIONS crystal
Te 0.000 0.000 0.000
Te 0.045 0.716 0.340
Te 0.472 0.499 0.993
Te 0.573 0.217 0.346
Pd 0.022 0.358 0.170
Pd 0.523 0.858 0.170
Se 0.002 0.187 0.642
Se 0.043 0.532 0.697
```

(4)
TePdSe2 after structural relaxation, computed with PBE. Values from VASP.

Computed properties:
As for the spin magnetization: 0.000 μB/atom. The formation energy (no corrections) comes out at 0.0364 eV/atom.

Quantum ESPRESSO input file:
```
&SYSTEM
  ibrav = 0, nat = 8, ntyp = 3
/
ATOMIC_SPECIES
Te 127.60 Te.upf
Pd 106.42 Pd.upf
Se 78.96 Se.upf
CELL_PARAMETERS angstrom
-3.547 3.547 3.845
3.547 -3.547 3.845
3.547 3.547 -3.845
ATOMIC_POSITIONS crystal
Te 0.000 0.000 0.000
Te 0.750 0.250 0.500
Pd 0.250 0.750 0.500
Pd 0.500 0.500 0.000
Se 0.167 0.125 0.542
Se 0.375 0.833 0.958
Se 0.583 0.625 0.458
Se 0.875 0.417 0.042
```

(5)
TePd2Se6 after structural relaxation, computed with PBE. Values from VASP.

Computed properties:
As for the spin magnetization: 0.000 μB/atom. The formation energy (no corrections) comes out at -0.1614 eV/atom.

Quantum ESPRESSO input file:
```
&SYSTEM
  ibrav = 0, nat = 9, ntyp = 3
/
ATOMIC_SPECIES
Te 127.60 Te.upf
Pd 106.42 Pd.upf
Se 78.96 Se.upf
CELL_PARAMETERS angstrom
6.767 0.000 0.000
-3.383 5.860 0.000
0.000 0.000 5.039
ATOMIC_POSITIONS crystal
Te 0.000 0.000 0.000
Pd 0.333 0.667 0.000
Pd 0.667 0.333 0.000
Se 0.000 0.361 0.719
Se 0.000 0.639 0.281
Se 0.361 0.000 0.719
Se 0.361 0.361 0.281
Se 0.639 0.000 0.281
Se 0.639 0.639 0.719
```

(6)
TePdSe after structural relaxation, computed with PBE. Values from VASP.

Computed properties:
As for the spin magnetization: 0.000 μB/atom. The formation energy (no corrections) comes out at -0.3011 eV/atom.

Quantum ESPRESSO input file:
```
&SYSTEM
  ibrav = 0, nat = 6, ntyp = 3
/
ATOMIC_SPECIES
Te 127.60 Te.upf
Pd 106.42 Pd.upf
Se 78.96 Se.upf
CELL_PARAMETERS angstrom
5.063 0.000 0.000
0.000 3.955 0.000
-0.460 0.000 6.885
ATOMIC_POSITIONS crystal
Te 0.231 0.250 0.395
Te 0.769 0.750 0.605
Pd 0.496 0.250 0.760
Pd 0.504 0.750 0.240
Se 0.240 0.750 0.899
Se 0.760 0.250 0.101
```

(7)
Te8Pd5Se2 after structural relaxation, computed with PBE. Values from VASP.

Computed properties:
As for the spin magnetization: 0.000 μB/atom. The formation energy (no corrections) comes out at -0.3190 eV/atom.

Quantum ESPRESSO input file:
```
&SYSTEM
  ibrav = 0, nat = 15, ntyp = 3
/
ATOMIC_SPECIES
Te 127.60 Te.upf
Pd 106.42 Pd.upf
Se 78.96 Se.upf
CELL_PARAMETERS angstrom
17.519 -2.029 0.000
17.519 2.029 0.000
-0.184 0.000 5.178
ATOMIC_POSITIONS crystal
Te 0.000 0.000 0.000
Te 0.133 0.133 0.485
Te 0.204 0.204 0.015
Te 0.401 0.401 0.033
Te 0.530 0.530 0.480
Te 0.602 0.602 0.006
Te 0.736 0.736 0.499
Te 0.804 0.804 0.040
Pd 0.066 0.066 0.742
Pd 0.271 0.271 0.768
Pd 0.464 0.464 0.745
Pd 0.669 0.669 0.751
Pd 0.868 0.868 0.765
Se 0.335 0.335 0.528
Se 0.930 0.930 0.513
```

(8)
TePdSe2 after structural relaxation, computed with PBE. Values from VASP.

Computed properties:
As for the spin magnetization: 0.000 μB/atom. The formation energy (no corrections) comes out at -0.1220 eV/atom.

Quantum ESPRESSO input file:
```
&SYSTEM
  ibrav = 0, nat = 4, ntyp = 3
/
ATOMIC_SPECIES
Te 127.60 Te.upf
Pd 106.42 Pd.upf
Se 78.96 Se.upf
CELL_PARAMETERS angstrom
1.907 1.101 8.159
-1.907 1.101 8.159
0.000 -2.202 8.159
ATOMIC_POSITIONS crystal
Te 0.000 0.000 0.000
Pd 0.500 0.500 0.500
Se 0.113 0.113 0.113
Se 0.887 0.887 0.887
```

(9)
ThTePdSe after structural relaxation, computed with PBE. Values from VASP.

Computed properties:
As for the spin magnetization: 0.000 μB/atom. The formation energy (no corrections) comes out at -1.1601 eV/atom.

Quantum ESPRESSO input file:
```
&SYSTEM
  ibrav = 0, nat = 8, ntyp = 4
/
ATOMIC_SPECIES
Th 232.04 Th.upf
Te 127.60 Te.upf
Pd 106.42 Pd.upf
Se 78.96 Se.upf
CELL_PARAMETERS angstrom
4.664 0.000 0.000
0.000 4.664 0.000
0.000 0.000 8.712
ATOMIC_POSITIONS crystal
Th 0.250 0.250 0.213
Th 0.750 0.750 0.787
Te 0.250 0.250 0.673
Te 0.750 0.750 0.327
Pd 0.250 0.750 0.500
Pd 0.750 0.250 0.500
Se 0.250 0.750 0.000
Se 0.750 0.250 0.000
```

(10)
Th4Te2PdSe after structural relaxation, computed with PBE. Values from VASP.

Computed properties:
As for the spin magnetization: 0.000 μB/atom. The formation energy (no corrections) comes out at -1.1010 eV/atom.

Quantum ESPRESSO input file:
```
&SYSTEM
  ibrav = 0, nat = 8, ntyp = 4
/
ATOMIC_SPECIES
Th 232.04 Th.upf
Te 127.60 Te.upf
Pd 106.42 Pd.upf
Se 78.96 Se.upf
CELL_PARAMETERS angstrom
7.491 0.000 0.000
0.000 4.227 0.000
-2.441 0.000 7.408
ATOMIC_POSITIONS crystal
Th 0.232 0.000 0.217
Th 0.259 0.500 0.776
Th 0.741 0.500 0.224
Th 0.768 0.000 0.783
Te 0.000 0.000 0.500
Te 0.500 0.500 0.500
Pd 0.000 0.500 0.000
Se 0.500 0.000 0.000
```

(11)
Tm4Te2PdSe after structural relaxation, computed with PBE. Values from VASP.

Computed properties:
As for the spin magnetization: 0.000 μB/atom. The formation energy (no corrections) comes out at -1.2469 eV/atom.

Quantum ESPRESSO input file:
```
&SYSTEM
  ibrav = 0, nat = 8, ntyp = 4
/
ATOMIC_SPECIES
Tm 168.93 Tm.upf
Te 127.60 Te.upf
Pd 106.42 Pd.upf
Se 78.96 Se.upf
CELL_PARAMETERS angstrom
7.371 0.000 0.000
0.000 4.071 0.000
-2.330 0.000 7.009
ATOMIC_POSITIONS crystal
Tm 0.223 0.000 0.210
Tm 0.252 0.500 0.779
Tm 0.748 0.500 0.221
Tm 0.777 0.000 0.790
Te 0.000 0.000 0.500
Te 0.500 0.500 0.500
Pd 0.000 0.500 0.000
Se 0.500 0.000 0.000
```

(12)
Tm4TePdSe2 after structural relaxation, computed with PBE. Values from VASP.

Computed properties:
As for the spin magnetization: 0.000 μB/atom. The formation energy (no corrections) comes out at -1.3194 eV/atom.

Quantum ESPRESSO input file:
```
&SYSTEM
  ibrav = 0, nat = 8, ntyp = 4
/
ATOMIC_SPECIES
Tm 168.93 Tm.upf
Te 127.60 Te.upf
Pd 106.42 Pd.upf
Se 78.96 Se.upf
CELL_PARAMETERS angstrom
7.158 0.000 0.000
0.000 4.007 0.000
-2.284 0.000 6.912
ATOMIC_POSITIONS crystal
Tm 0.225 0.000 0.240
Tm 0.228 0.500 0.738
Tm 0.772 0.500 0.262
Tm 0.775 0.000 0.760
Te 0.500 0.000 0.000
Pd 0.000 0.500 0.000
Se 0.000 0.000 0.500
Se 0.500 0.500 0.500
```